[1]
ScRuPb, optimized geometry, DFT GGA-PBE; ρ = 9.0 Mg/m³; total energy = -39.35 eV/cell
1.0
-1.6025 1.6025 12.6393
1.6025 -1.6025 12.6393
1.6025 1.6025 -12.6393
Sc Ru Pb
2 2 2
direct
0.1565 0.1565 0.0000
0.8435 0.8435 0.0000
0.2800 0.2800 0.0000
0.7200 0.7200 0.0000
0.4388 0.4388 0.0000
0.5612 0.5612 0.0000

***

[2]
ScRuPb, optimized geometry, DFT GGA-PBE; ρ = 8.6 Mg/m³; total energy = -18.15 eV/cell
1.0
0.0000 3.2433 3.2433
3.2433 0.0000 3.2433
3.2433 3.2433 0.0000
Sc Ru Pb
1 1 1
direct
0.0000 0.0000 0.0000
0.2500 0.2500 0.2500
0.7500 0.7500 0.7500

***

[3]
Sc2RuPb, optimized geometry, DFT GGA-PBE; ρ = 7.6 Mg/m³; total energy = -26.24 eV/cell
1.0
3.3071 0.0000 0.0000
0.0000 4.3478 0.0000
0.0000 0.0000 6.0327
Sc Ru Pb
2 1 1
direct
0.0000 0.0000 0.0000
0.5000 0.5000 0.2882
0.5000 0.5000 0.8807
0.0000 0.0000 0.5268

***

Number 1: density of states at the Fermi level 4.7 states/eV per cell. Number 2: density of states at the Fermi level 1.7 states/eV per cell. Number 3: density of states at the Fermi level 2.7 states/eV per cell.